[1]
Density functional theory data (PBE) for a geometry-optimized ZrOsCl4 structure.

Cell: 5.5801 5.5801 5.5801 Å, 60.00 60.00 60.00°
Fractional coordinates of all 6 atoms:
Zr 0.0000 0.0000 0.0000
Os 0.7500 0.7500 0.7500
Cl 0.8749 0.3750 0.3750
Cl 0.3750 0.3750 0.8749
Cl 0.3750 0.8749 0.3750
Cl 0.3750 0.3750 0.3750

The calculation puts the total moment at 3.92 μB per formula unit. The calculation puts the energy at -3.450 eV per atom. Its density of states at the Fermi level is 1.251 states/eV per atom. As for the uncorrected formation energy: 1077 meV/atom.

---

[2]
Density functional theory data (PBE) for a geometry-optimized ZrOsCl structure.

Cell: 3.3418 3.3418 6.7221 Å, 90.00 90.00 120.00°
Fractional coordinates of all 3 atoms:
Cl 0.0000 0.0000 0.9421
Os 0.6667 0.3333 0.4005
Zr 0.3333 0.6667 0.6574

The calculation puts the total moment at 0.00 μB per formula unit. The calculation puts the energy at -7.482 eV per atom. Its density of states at the Fermi level is 0.240 states/eV per atom. As for the uncorrected formation energy: -274 meV/atom. The value obtained for the polymorph energy (0 for the lowest one) is 0 meV/atom.

---

[3]
Density functional theory data (PBE) for a geometry-optimized ZrOsCl structure.

Cell: 6.9021 6.8886 3.1067 Å, 77.22 76.74 26.04°
Fractional coordinates of all 3 atoms:
Cl 0.9698 0.9698 0.0302
Os 0.7041 0.7041 0.2959
Zr 0.3261 0.3261 0.6739

The calculation puts the total moment at 0.00 μB per formula unit. The calculation puts the energy at -7.370 eV per atom. Its density of states at the Fermi level is 0.404 states/eV per atom. As for the uncorrected formation energy: -162 meV/atom. The value obtained for the polymorph energy (0 for the lowest one) is 113 meV/atom.

---

[4]
Density functional theory data (PBE) for a geometry-optimized P2Cl3 structure.

Cell: 10.4972 8.0976 8.4543 Å, 78.69 49.15 52.16°
Fractional coordinates of all 10 atoms:
P 0.5247 0.3627 0.3823
P 0.7303 0.3823 0.3627
P 0.8873 0.7253 0.5197
P 0.8677 0.5197 0.7253
Cl 0.2728 0.4521 0.7281
Cl 0.5470 0.7281 0.4521
Cl 0.7979 0.9772 0.7030
Cl 0.5219 0.7030 0.9772
Cl 0.9252 0.0748 0.0748
Cl 0.1752 0.3248 0.3248

The calculation puts the total moment at 1.01 μB per formula unit. The calculation puts the energy at -3.389 eV per atom. As for the uncorrected formation energy: -117 meV/atom.

---

[5]
Density functional theory data (PBE) for a geometry-optimized PCl structure.

Cell: 13.4113 13.4113 3.4067 Å, 90.00 90.00 90.00°
Fractional coordinates of all 16 atoms:
P 0.2874 0.7058 0.0000
P 0.7126 0.2942 0.0000
P 0.2942 0.2874 0.0000
P 0.7058 0.7126 0.0000
P 0.7874 0.2058 0.5000
P 0.2126 0.7942 0.5000
P 0.7942 0.7874 0.5000
P 0.2058 0.2126 0.5000
Cl 0.4107 0.1855 0.0000
Cl 0.5893 0.8145 0.0000
Cl 0.8145 0.4107 0.0000
Cl 0.1855 0.5893 0.0000
Cl 0.9107 0.6855 0.5000
Cl 0.0893 0.3145 0.5000
Cl 0.3145 0.9107 0.5000
Cl 0.6855 0.0893 0.5000

The calculation puts the total moment at 0.00 μB per formula unit. The calculation puts the energy at -3.972 eV per atom. Its density of states at the Fermi level is 0.000 states/eV per atom. As for the uncorrected formation energy: -344 meV/atom. The value obtained for the polymorph energy (0 for the lowest one) is 15 meV/atom.

---

[6]
Density functional theory data (PBE) for a geometry-optimized PCl structure.

Cell: 3.3055 3.3055 3.3055 Å, 90.00 90.00 90.00°
Fractional coordinates of all 2 atoms:
Cl 0.0000 0.0000 0.0000
P 0.5000 0.5000 0.5000

The calculation puts the total moment at 0.00 μB per formula unit. The calculation puts the energy at -2.589 eV per atom. Its density of states at the Fermi level is 0.992 states/eV per atom. As for the uncorrected formation energy: 1039 meV/atom. The value obtained for the polymorph energy (0 for the lowest one) is 1398 meV/atom.